# PbClF3 (GGA-PBE, optimized geometry)
# Offset from the most stable computed form (meV per atom): 36.8
# Crystal system: monoclinic
# DOS at the Fermi energy (states/eV per cell): 0.00
data_PbClF3
_chemical_formula_sum 'Pb4 Cl4 F12'
_cell_length_a 8.3595
_cell_length_b 5.3274
_cell_length_c 12.0032
_cell_angle_alpha 90.00
_cell_angle_beta 127.56
_cell_angle_gamma 90.00
_symmetry_space_group_name_H-M 'P 1 21/c 1'
_symmetry_Int_Tables_number 14
_symmetry_space_group_name_Hall '-P 2ybc'
loop_
_atom_site_label
_atom_site_type_symbol
_atom_site_fract_x
_atom_site_fract_y
_atom_site_fract_z
Pb1 Pb 0.1614 0.1217 0.4229
Cl1 Cl 0.4082 0.1215 0.8082
F1 F 0.0795 0.6091 0.7345
F2 F 0.1259 0.1008 0.6287
F3 F 0.3358 0.6411 0.5330

# Pb3ClF5 (GGA-PBE, optimized geometry)
# Crystal system: orthorhombic
# DOS at the Fermi energy (states/eV per cell): 0.00
data_Pb3ClF5
_chemical_formula_sum 'Pb12 Cl4 F20'
_cell_length_a 3.9310
_cell_length_b 13.9947
_cell_length_c 12.4395
_cell_angle_alpha 90.00
_cell_angle_beta 90.00
_cell_angle_gamma 90.00
_symmetry_space_group_name_H-M 'C m c m'
_symmetry_Int_Tables_number 63
_symmetry_space_group_name_Hall '-C 2c 2'
loop_
_atom_site_label
_atom_site_type_symbol
_atom_site_fract_x
_atom_site_fract_y
_atom_site_fract_z
Pb1 Pb 0.0000 0.1211 0.0406
Pb2 Pb 0.0000 0.3664 0.2500
Cl1 Cl 0.0000 0.3113 0.7500
F1 F 0.0000 0.0693 0.6415
F2 F 0.0000 0.3024 0.0514
F3 F 0.0000 0.5000 0.0000

| no. | uncorrected formation energy (eV per atom) | total moment (μB per atom) |
| --- | --- | --- |
| 1 | -1.5543 | 0.00 |
| 2 | -2.1536 | 0.00 |